DFT (meta-GGA SCAN) results for CrPtCl2 at its PBEsol-relaxed geometry.

Calculated values
Uncorrected formation energy (kJ/mol of atoms): 42.1
Total DFT energy (no corrections) (eV per atom): -25.6974
Relative energy among the computed polymorphs (meV per atom): 189

abc: 2.8065 2.8065 32.1877
angles: 90.00 90.00 120.00
Closest atoms and distances in Å follow each position.
Sites, in units of the cell vectors:
Cr 0.0000 0.0000 0.0000  2 Cl 2.12
Cr 0.3333 0.6667 0.6667  2 Cl 2.12
Cr 0.6667 0.3333 0.3333  2 Cl 2.12
Pt 0.0000 0.0000 0.5000  6 Pt 2.81
Pt 0.3333 0.6667 0.1667  6 Pt 2.81
Pt 0.6667 0.3333 0.8333  6 Pt 2.81
Cl 0.0000 0.0000 0.0658  1 Cr 2.12
Cl 0.0000 0.0000 0.9342  1 Cr 2.12
Cl 0.3333 0.6667 0.6009  1 Cr 2.12
Cl 0.3333 0.6667 0.7324  1 Cr 2.12
Cl 0.6667 0.3333 0.2676  1 Cr 2.12
Cl 0.6667 0.3333 0.3991  1 Cr 2.12